(one)
Here is a relaxed structure of SiTeBr2 from Alexandria via LeMat-Bulk. Energies are from PBE.

Lattice parameters (Å, degrees): 5.250 5.250 3.695 90.00 90.00 90.00
Fractional coordinates of all 4 atoms:
Si: 0.000 0.000 0.000
Te: 0.500 0.500 0.000
Br: 0.000 0.500 0.500
Br: 0.500 0.000 0.500

Output
The space-group type is P4/mmm (123). As for the density: 5145 kg/m3. Its calculated volume is 25.46 A^3/atom. The density of states at the Fermi level comes out at 4.20 states/eV/f.u.

=====

(two)
Here is a relaxed structure of SiTeBr2 from Alexandria via LeMat-Bulk. Energies are from PBE.

Lattice parameters (Å, degrees): 5.761 5.761 4.835 113.02 113.02 109.27
Fractional coordinates of all 4 atoms:
Si: 0.000 0.000 0.000
Te: 0.500 0.500 0.000
Br: 0.000 0.500 0.500
Br: 0.500 0.000 0.500

Output
The space-group type is C2/m (12). As for the density: 4690 kg/m3. Its calculated volume is 27.92 A^3/atom. The density of states at the Fermi level comes out at 1.27 states/eV/f.u.

=====

Which one sits at the top of the stability order? (two) does.

=====

(one)
Here is a relaxed structure of CuAg2Ir from Alexandria via LeMat-Bulk. Energies are from PBE.

Lattice parameters (Å, degrees): 9.999 9.999 9.999 158.39 158.39 30.75
Fractional coordinates of all 8 atoms:
Cu: 0.000 0.000 0.000
Cu: 0.750 0.250 0.500
Ag: 0.123 0.625 0.998
Ag: 0.375 0.373 0.498
Ag: 0.627 0.125 0.002
Ag: 0.875 0.877 0.502
Ir: 0.250 0.750 0.500
Ir: 0.500 0.500 0.000

Output
The space-group type is I-42d (122). As for the density: 11557 kg/m3. Its calculated volume is 16.94 A^3/atom. The density of states at the Fermi level comes out at 3.10 states/eV/f.u.

=====

(two)
Here is a relaxed structure of CuAg2Ir from Alexandria via LeMat-Bulk. Energies are from PBE.

Lattice parameters (Å, degrees): 5.511 5.511 5.511 151.05 128.29 60.35
Fractional coordinates of all 4 atoms:
Cu: 0.000 0.000 0.000
Ag: 0.487 0.487 0.000
Ag: 0.755 0.255 0.500
Ir: 0.226 0.726 0.500

Output
The space-group type is Imm2 (44). As for the density: 12406 kg/m3. Its calculated volume is 15.78 A^3/atom. The density of states at the Fermi level comes out at 2.63 states/eV/f.u.

=====

Which one sits at the top of the stability order? (two) does.

=====

(one)
Here is a relaxed structure of AlInOs2 from Alexandria via LeMat-Bulk. Energies are from PBE.

Lattice parameters (Å, degrees): 4.440 4.440 4.440 60.00 60.00 60.00
Fractional coordinates of all 4 atoms:
Al: 0.000 0.000 0.000
In: 0.500 0.500 0.500
Os: 0.250 0.250 0.250
Os: 0.750 0.750 0.750

Output
The space-group type is Fm-3m (225). As for the density: 14012 kg/m3. Its calculated volume is 15.47 A^3/atom. The density of states at the Fermi level comes out at 3.81 states/eV/f.u.

=====

(two)
Here is a relaxed structure of AlInOs2 from Alexandria via LeMat-Bulk. Energies are from PBE.

Lattice parameters (Å, degrees): 2.877 3.835 5.799 90.00 90.00 90.00
Fractional coordinates of all 4 atoms:
Al: 0.000 0.000 0.000
In: 0.500 0.500 0.297
Os: 0.000 0.000 0.559
Os: 0.500 0.500 0.797

Output
The space-group type is Pmm2 (25). As for the density: 13555 kg/m3. Its calculated volume is 15.99 A^3/atom. The density of states at the Fermi level comes out at 3.62 states/eV/f.u.

=====

Which one sits at the top of the stability order? (one) does.

=====

(one)
Here is a relaxed structure of Be3Co2 from Alexandria via LeMat-Bulk. Energies are from PBE.

Lattice parameters (Å, degrees): 5.715 4.304 6.456 60.28 40.86 78.86
Fractional coordinates of all 10 atoms:
Be: 0.000 0.000 0.000
Be: 0.250 0.250 0.250
Be: 0.426 0.770 0.351
Be: 0.770 0.426 0.454
Be: 0.796 0.899 0.480
Be: 0.899 0.796 0.824
Co: 0.225 0.496 0.884
Co: 0.366 0.854 0.025
Co: 0.496 0.225 0.396
Co: 0.854 0.366 0.754

Output
The space-group type is Fdd2 (43). As for the density: 5630 kg/m3. Its calculated volume is 8.55 A^3/atom. The density of states at the Fermi level comes out at 4.27 states/eV/f.u.

=====

(two)
Here is a relaxed structure of Be3Co2 from Alexandria via LeMat-Bulk. Energies are from PBE.

Lattice parameters (Å, degrees): 4.375 4.375 4.375 48.77 48.77 48.77
Fractional coordinates of all 5 atoms:
Be: 0.000 0.000 0.000
Be: 0.194 0.194 0.194
Be: 0.806 0.806 0.806
Co: 0.399 0.399 0.399
Co: 0.601 0.601 0.601

Output
The space-group type is R-3m (166). As for the density: 5537 kg/m3. Its calculated volume is 8.69 A^3/atom. The density of states at the Fermi level comes out at 3.92 states/eV/f.u.

=====

Which one sits at the top of the stability order? (one) does.

=====

(one)
Here is a relaxed structure of TlTc2Sb from Alexandria via LeMat-Bulk. Energies are from PBE.

Lattice parameters (Å, degrees): 8.794 8.794 8.794 20.67 20.67 20.67
Fractional coordinates of all 4 atoms:
Tl: 0.000 0.000 0.000
Tc: 0.245 0.245 0.245
Tc: 0.755 0.755 0.755
Sb: 0.500 0.500 0.500

Output
The space-group type is R-3m (166). As for the density: 11692 kg/m3. Its calculated volume is 18.54 A^3/atom. The density of states at the Fermi level comes out at 5.38 states/eV/f.u.

=====

(two)
Here is a relaxed structure of TlTc2Sb from Alexandria via LeMat-Bulk. Energies are from PBE.

Lattice parameters (Å, degrees): 3.126 4.081 6.048 90.00 102.58 90.00
Fractional coordinates of all 4 atoms:
Tl: 0.000 0.000 0.000
Tc: 0.375 0.500 0.725
Tc: 0.625 0.500 0.275
Sb: 0.000 0.000 0.500

Output
The space-group type is P2/m (10). As for the density: 11515 kg/m3. Its calculated volume is 18.82 A^3/atom. The density of states at the Fermi level comes out at 3.24 states/eV/f.u.

=====

Which one sits at the top of the stability order? (one) does.

=====

(one)
Here is a relaxed structure of KMnMo2 from Alexandria via LeMat-Bulk. Energies are from PBE.

Lattice parameters (Å, degrees): 5.155 5.155 2.660 90.00 90.00 90.00
Fractional coordinates of all 4 atoms:
K: 0.000 0.000 0.000
Mn: 0.500 0.500 0.000
Mo: 0.000 0.500 0.500
Mo: 0.500 0.000 0.500

Output
The space-group type is P4/mmm (123). As for the density: 6714 kg/m3. Its calculated volume is 17.68 A^3/atom. The density of states at the Fermi level comes out at 4.86 states/eV/f.u.

=====

(two)
Here is a relaxed structure of KMnMo2 from Alexandria via LeMat-Bulk. Energies are from PBE.

Lattice parameters (Å, degrees): 5.747 5.747 5.747 140.97 140.97 56.39
Fractional coordinates of all 4 atoms:
K: 0.000 0.000 0.000
Mn: 0.500 0.500 0.000
Mo: 0.250 0.750 0.500
Mo: 0.750 0.250 0.500

Output
The space-group type is I4/mmm (139). As for the density: 6356 kg/m3. Its calculated volume is 18.67 A^3/atom. The density of states at the Fermi level comes out at 3.59 states/eV/f.u.

=====

Which one sits at the top of the stability order? (two) does.